Below is a relaxed ThCuAs2 crystal, with properties calculated at the GGA-PBE level.

Cell: 4.478 4.478 7.870 Å, 73.47 73.47 60.00°
Positions (direct):
1 As 0.102 0.102 0.695
2 As 0.898 0.898 0.305
3 Cu 0.000 0.000 0.000
4 Th 0.500 0.500 0.500

size of the total moment	0.000	μB/atom
calculated formation energy	-0.25	eV/atom
calculated volume	32.3	Å³/atom